[1]
Compound: YTaAg2Te
Source: the Alexandria database
Functional: PBE-GGA
Structure: optimized geometry

```
data_YTaAg2Te
_chemical_formula_sum 'Y1 Ta1 Ag2 Te1'
_space_group_name_H-M_alt 'P 4/m m m'
_space_group_IT_number 123
_space_group_name_Hall '-P 4 2'
_cell_length_a 5.1318
_cell_length_b 5.1318
_cell_length_c 5.5803
_cell_angle_alpha 90.00
_cell_angle_beta 90.00
_cell_angle_gamma 90.00
loop_
_atom_site_label
_atom_site_type_symbol
_atom_site_fract_x
_atom_site_fract_y
_atom_site_fract_z
Y1 Y 0.0000 0.0000 0.0000
Ta1 Ta 0.0000 0.0000 0.5000
Ag1 Ag 0.0000 0.5000 0.5000
Te1 Te 0.5000 0.5000 0.0000
```

## Properties
The raw formation energy is 4.9 eV per formula unit.

[2]
Compound: AgHg6F12
Source: the Alexandria database
Functional: PBE-GGA
Structure: optimized geometry

```
data_AgHg6F12
_chemical_formula_sum 'Ag3 Hg18 F36'
_space_group_name_H-M_alt 'R -3'
_space_group_IT_number 148
_space_group_name_Hall '-R 3'
_cell_length_a 10.7356
_cell_length_b 10.7356
_cell_length_c 9.6091
_cell_angle_alpha 90.00
_cell_angle_beta 90.00
_cell_angle_gamma 120.00
loop_
_atom_site_label
_atom_site_type_symbol
_atom_site_fract_x
_atom_site_fract_y
_atom_site_fract_z
Ag1 Ag 0.0000 0.0000 0.0000
Hg1 Hg 0.0486 0.2568 0.6527
F1 F 0.0364 0.2161 0.3950
F2 F 0.0363 0.2212 0.8915
```

## Properties
The raw formation energy is -25.5 eV per formula unit.

[3]
Compound: Er2Co5Ni5
Source: the Alexandria database
Functional: PBE-GGA
Structure: optimized geometry

```
data_Er2Co5Ni5
_chemical_formula_sum 'Er2 Co5 Ni5'
_space_group_name_H-M_alt 'P m m m'
_space_group_IT_number 47
_space_group_name_Hall '-P 2 2'
_cell_length_a 4.0000
_cell_length_b 4.7943
_cell_length_c 8.4911
_cell_angle_alpha 90.00
_cell_angle_beta 90.00
_cell_angle_gamma 90.00
loop_
_atom_site_label
_atom_site_type_symbol
_atom_site_fract_x
_atom_site_fract_y
_atom_site_fract_z
Er1 Er 0.0000 0.0000 0.0000
Er2 Er 0.0000 0.5000 0.5000
Co1 Co 0.5000 0.0000 0.5000
Co2 Co 0.5000 0.2519 0.2537
Ni1 Ni 0.0000 0.0000 0.3311
Ni2 Ni 0.0000 0.5000 0.1676
Ni3 Ni 0.5000 0.5000 0.0000
```

## Properties
For the calculated formation energy, the calculation gives -0.2239 eV/atom.

[4]
Compound: MoOs2Rh
Source: the Alexandria database
Functional: PBE-GGA
Structure: optimized geometry

```
data_MoOs2Rh
_chemical_formula_sum 'Mo4 Os8 Rh4'
_space_group_name_H-M_alt 'F m -3 m'
_space_group_IT_number 225
_space_group_name_Hall '-F 4 2 3'
_cell_length_a 6.2044
_cell_length_b 6.2044
_cell_length_c 6.2044
_cell_angle_alpha 90.00
_cell_angle_beta 90.00
_cell_angle_gamma 90.00
loop_
_atom_site_label
_atom_site_type_symbol
_atom_site_fract_x
_atom_site_fract_y
_atom_site_fract_z
Mo1 Mo 0.0000 0.0000 0.0000
Os1 Os 0.2500 0.2500 0.2500
Rh1 Rh 0.0000 0.0000 0.5000
```

## Properties
For the calculated formation energy, the calculation gives 0.4087 eV/atom.

[5]
Compound: CaLa2Ru
Source: the Alexandria database
Functional: PBE-GGA
Structure: optimized geometry

```
data_CaLa2Ru
_chemical_formula_sum 'Ca4 La8 Ru4'
_space_group_name_H-M_alt 'I -4 2 d'
_space_group_IT_number 122
_space_group_name_Hall 'I -4 2bw'
_cell_length_a 8.8596
_cell_length_b 8.8596
_cell_length_c 6.6199
_cell_angle_alpha 90.00
_cell_angle_beta 90.00
_cell_angle_gamma 90.00
loop_
_atom_site_label
_atom_site_type_symbol
_atom_site_fract_x
_atom_site_fract_y
_atom_site_fract_z
Ca1 Ca 0.0000 0.0000 0.0000
La1 La 0.1581 0.2500 0.6250
Ru1 Ru 0.0000 0.0000 0.5000
```

## Properties
For the calculated formation energy, the calculation gives 0.0339 eV/atom.

[6]
Compound: SrLaRe2Tc
Source: the Alexandria database
Functional: PBE-GGA
Structure: optimized geometry

```
data_SrLaRe2Tc
_chemical_formula_sum 'Sr1 La1 Re2 Tc1'
_space_group_name_H-M_alt 'P 4/m m m'
_space_group_IT_number 123
_space_group_name_Hall '-P 4 2'
_cell_length_a 4.7501
_cell_length_b 4.7501
_cell_length_c 5.2202
_cell_angle_alpha 90.00
_cell_angle_beta 90.00
_cell_angle_gamma 90.00
loop_
_atom_site_label
_atom_site_type_symbol
_atom_site_fract_x
_atom_site_fract_y
_atom_site_fract_z
Sr1 Sr 0.0000 0.0000 0.0000
La1 La 0.0000 0.0000 0.5000
Re1 Re 0.0000 0.5000 0.0000
Tc1 Tc 0.5000 0.5000 0.5000
```

## Properties
For the calculated formation energy, the calculation gives 3.0964 eV/atom.

[7]
Compound: Li2CaSn9
Source: the Alexandria database
Functional: PBE-GGA
Structure: optimized geometry

```
data_Li2CaSn9
_chemical_formula_sum 'Li2 Ca1 Sn9'
_space_group_name_H-M_alt 'P 4/m m m'
_space_group_IT_number 123
_space_group_name_Hall '-P 4 2'
_cell_length_a 4.6891
_cell_length_b 4.6891
_cell_length_c 13.9768
_cell_angle_alpha 90.00
_cell_angle_beta 90.00
_cell_angle_gamma 90.00
loop_
_atom_site_label
_atom_site_type_symbol
_atom_site_fract_x
_atom_site_fract_y
_atom_site_fract_z
Li1 Li 0.0000 0.0000 0.1705
Ca1 Ca 0.0000 0.0000 0.5000
Sn1 Sn 0.0000 0.5000 0.0000
Sn2 Sn 0.0000 0.5000 0.3260
Sn3 Sn 0.5000 0.5000 0.1629
Sn4 Sn 0.5000 0.5000 0.5000
```

## Properties
For the calculated formation energy, the calculation gives -0.2104 eV/atom.

[8]
Compound: TlHI2N
Source: the Alexandria database
Functional: PBE-GGA
Structure: optimized geometry

```
data_TlHI2N
_chemical_formula_sum 'Tl1 H1 I2 N1'
_space_group_name_H-M_alt 'P 4/m m m'
_space_group_IT_number 123
_space_group_name_Hall '-P 4 2'
_cell_length_a 6.1142
_cell_length_b 6.1142
_cell_length_c 4.6473
_cell_angle_alpha 90.00
_cell_angle_beta 90.00
_cell_angle_gamma 90.00
loop_
_atom_site_label
_atom_site_type_symbol
_atom_site_fract_x
_atom_site_fract_y
_atom_site_fract_z
Tl1 Tl 0.0000 0.0000 0.0000
H1 H 0.5000 0.5000 0.5000
I1 I 0.0000 0.5000 0.0000
N1 N 0.0000 0.0000 0.5000
```

## Properties
The total energy comes out at -2.215 eV per atom.

[9]
Compound: LiReTc2
Source: the Alexandria database
Functional: PBE-GGA
Structure: optimized geometry

```
data_LiReTc2
_chemical_formula_sum 'Li4 Re4 Tc8'
_space_group_name_H-M_alt 'I -4 2 d'
_space_group_IT_number 122
_space_group_name_Hall 'I -4 2bw'
_cell_length_a 6.9718
_cell_length_b 6.9718
_cell_length_c 5.2384
_cell_angle_alpha 90.00
_cell_angle_beta 90.00
_cell_angle_gamma 90.00
loop_
_atom_site_label
_atom_site_type_symbol
_atom_site_fract_x
_atom_site_fract_y
_atom_site_fract_z
Li1 Li 0.0000 0.0000 0.0000
Re1 Re 0.0000 0.0000 0.5000
Tc1 Tc 0.2244 0.2500 0.6250
```

## Properties
For the calculated formation energy, the calculation gives 0.7542 eV/atom.

[10]
Compound: HoHfMg4
Source: the Alexandria database
Functional: PBE-GGA
Structure: optimized geometry

```
data_HoHfMg4
_chemical_formula_sum 'Ho4 Hf4 Mg16'
_space_group_name_H-M_alt 'F -4 3 m'
_space_group_IT_number 216
_space_group_name_Hall 'F -4 2 3'
_cell_length_a 8.2697
_cell_length_b 8.2697
_cell_length_c 8.2697
_cell_angle_alpha 90.00
_cell_angle_beta 90.00
_cell_angle_gamma 90.00
loop_
_atom_site_label
_atom_site_type_symbol
_atom_site_fract_x
_atom_site_fract_y
_atom_site_fract_z
Ho1 Ho 0.0000 0.0000 0.0000
Hf1 Hf 0.2500 0.2500 0.7500
Mg1 Mg 0.1243 0.1243 0.3757
```

## Properties
For the calculated formation energy, the calculation gives 0.1169 eV/atom.

Repeat the third record exactly.
Compound: Er2Co5Ni5
Source: the Alexandria database
Functional: PBE-GGA
Structure: optimized geometry

```
data_Er2Co5Ni5
_chemical_formula_sum 'Er2 Co5 Ni5'
_space_group_name_H-M_alt 'P m m m'
_space_group_IT_number 47
_space_group_name_Hall '-P 2 2'
_cell_length_a 4.0000
_cell_length_b 4.7943
_cell_length_c 8.4911
_cell_angle_alpha 90.00
_cell_angle_beta 90.00
_cell_angle_gamma 90.00
loop_
_atom_site_label
_atom_site_type_symbol
_atom_site_fract_x
_atom_site_fract_y
_atom_site_fract_z
Er1 Er 0.0000 0.0000 0.0000
Er2 Er 0.0000 0.5000 0.5000
Co1 Co 0.5000 0.0000 0.5000
Co2 Co 0.5000 0.2519 0.2537
Ni1 Ni 0.0000 0.0000 0.3311
Ni2 Ni 0.0000 0.5000 0.1676
Ni3 Ni 0.5000 0.5000 0.0000
```

## Properties
For the calculated formation energy, the calculation gives -0.2239 eV/atom.